Record 1
NaH8Rh2 after structural relaxation, computed with PBE.

```
NaH8Rh2
1.0
-1.7408 2.4311 4.6985
1.7408 -2.4311 4.6985
1.7408 2.4311 -4.6985
Na H Rh
1 8 2
direct
0.0000 0.0000 0.0000
0.0239 0.9542 0.5498
0.2945 0.5000 0.7945
0.3835 0.8835 0.5000
0.4044 0.4742 0.4502
0.5956 0.0458 0.0697
0.6165 0.1165 0.5000
0.7055 0.5000 0.2055
0.9761 0.5258 0.9303
0.3434 0.3434 0.0000
0.6566 0.6566 0.0000
```

Results
**VASP energy**: -3.844 eV per atom
**Space-group type**: I222, No. 23
**N(E_F)**: 1.43 states/eV per cell
**Volume**: 7.2 A^3/atom
**Offset from the most stable computed form**: 142.0 meV per atom

---

Record 2
NaH3Rh after structural relaxation, computed with PBE.

```
NaH3Rh
1.0
5.6486 -1.4521 0.0000
5.6486 1.4521 0.0000
-1.7462 0.0000 6.2490
Na H Rh
2 6 2
direct
0.0902 0.0902 0.3015
0.9098 0.9098 0.6985
0.1046 0.1046 0.6820
0.1715 0.1715 0.9947
0.3124 0.3124 0.4231
0.6876 0.6876 0.5769
0.8285 0.8285 0.0053
0.8954 0.8954 0.3180
0.3257 0.3257 0.1852
0.6743 0.6743 0.8148
```

Results
**VASP energy**: -3.836 eV per atom
**Space-group type**: C2/m, No. 12
**N(E_F)**: 1.45 states/eV per cell
**Volume**: 10.3 A^3/atom
**Offset from the most stable computed form**: 187.8 meV per atom

---

Record 3
NaHRh2 after structural relaxation, computed with PBE.

```
NaHRh2
1.0
-2.7871 2.7871 3.9368
2.7871 -2.7871 3.9368
2.7871 2.7871 -3.9368
Na H Rh
2 2 4
direct
0.3750 0.6250 0.7500
0.6250 0.3750 0.2500
0.1250 0.8750 0.2500
0.8750 0.1250 0.7500
0.0000 0.0000 0.0000
0.0000 0.0000 0.5000
0.0000 0.5000 0.0000
0.5000 0.0000 0.5000
```

Results
**VASP energy**: -4.619 eV per atom
**Space-group type**: I4_1/amd, No. 141
**N(E_F)**: 10.04 states/eV per cell
**Volume**: 15.3 A^3/atom
**Offset from the most stable computed form**: 0.0 meV per atom

---

Record 4
Na3H12Rh5 after structural relaxation, computed with PBE.

```
Na3H12Rh5
1.0
-5.6405 5.6405 5.6405
5.6405 -5.6405 5.6405
5.6405 5.6405 -5.6405
Na H Rh
12 48 20
direct
0.1250 0.2500 0.3750
0.1250 0.3750 0.7500
0.2500 0.3750 0.1250
0.2500 0.8750 0.6250
0.3750 0.1250 0.2500
0.3750 0.7500 0.1250
0.6250 0.2500 0.8750
0.6250 0.8750 0.7500
0.7500 0.1250 0.3750
0.7500 0.6250 0.8750
0.8750 0.6250 0.2500
0.8750 0.7500 0.6250
0.0172 0.1935 0.1027
0.0172 0.3237 0.9144
0.0856 0.6027 0.4093
0.0856 0.9828 0.6763
0.0907 0.6935 0.6763
0.0907 0.8973 0.4144
0.1027 0.0172 0.1935
0.1027 0.5856 0.9093
0.1763 0.1935 0.5907
0.1763 0.4828 0.5856
0.1935 0.1027 0.0172
0.1935 0.5907 0.1763
0.3065 0.3237 0.9093
0.3065 0.4828 0.3973
0.3237 0.9093 0.3065
0.3237 0.9144 0.0172
0.3973 0.3065 0.4828
0.3973 0.5907 0.9144
0.4093 0.0856 0.6027
0.4093 0.8237 0.8065
0.4144 0.0907 0.8973
0.4144 0.8237 0.5172
0.4828 0.3973 0.3065
0.4828 0.5856 0.1763
0.5172 0.4144 0.8237
0.5172 0.6027 0.6935
0.5856 0.1763 0.4828
0.5856 0.9093 0.1027
0.5907 0.1763 0.1935
0.5907 0.9144 0.3973
0.6027 0.4093 0.0856
0.6027 0.6935 0.5172
0.6763 0.0856 0.9828
0.6763 0.0907 0.6935
0.6935 0.5172 0.6027
0.6935 0.6763 0.0907
0.8065 0.4093 0.8237
0.8065 0.8973 0.9828
0.8237 0.5172 0.4144
0.8237 0.8065 0.4093
0.8973 0.4144 0.0907
0.8973 0.9828 0.8065
0.9093 0.1027 0.5856
0.9093 0.3065 0.3237
0.9144 0.0172 0.3237
0.9144 0.3973 0.5907
0.9828 0.6763 0.0856
0.9828 0.8065 0.8973
0.0000 0.0000 0.0000
0.0000 0.0000 0.5000
0.0000 0.5000 0.0000
0.0000 0.5000 0.5000
0.1250 0.7500 0.8750
0.1250 0.8750 0.2500
0.2500 0.1250 0.8750
0.2500 0.6250 0.3750
0.3750 0.2500 0.6250
0.3750 0.6250 0.7500
0.5000 0.0000 0.0000
0.5000 0.0000 0.5000
0.5000 0.5000 0.0000
0.5000 0.5000 0.5000
0.6250 0.3750 0.2500
0.6250 0.7500 0.3750
0.7500 0.3750 0.6250
0.7500 0.8750 0.1250
0.8750 0.1250 0.7500
0.8750 0.2500 0.1250
```

Results
**VASP energy**: -4.102 eV per atom
**Space-group type**: Ia-3d, No. 230
**N(E_F)**: 35.81 states/eV per cell
**Volume**: 9.0 A^3/atom

---

Record 5
NaH3Rh after structural relaxation, computed with PBE.

```
NaH3Rh
1.0
2.9475 0.0000 0.0000
0.0000 4.8498 0.0000
-0.0039 0.0000 6.3086
Na H Rh
2 6 2
direct
0.2487 0.2500 0.3590
0.7513 0.7500 0.6410
0.2498 0.0200 0.8739
0.2498 0.4800 0.8739
0.2509 0.7500 0.3725
0.7491 0.2500 0.6275
0.7502 0.5200 0.1261
0.7502 0.9800 0.1261
0.2503 0.7500 0.1092
0.7497 0.2500 0.8908
```

Results
**VASP energy**: -3.870 eV per atom
**Space-group type**: P2_1/m, No. 11
**N(E_F)**: 3.67 states/eV per cell
**Volume**: 9.0 A^3/atom
**Offset from the most stable computed form**: 154.5 meV per atom

---

Record 6
NaH3Rh after structural relaxation, computed with PBE.

```
NaH3Rh
1.0
3.3995 0.0000 0.0000
-1.6997 2.9440 0.0000
0.0000 0.0000 8.2234
Na H Rh
2 6 2
direct
0.3333 0.6667 0.2500
0.6667 0.3333 0.7500
0.0000 0.0000 0.2500
0.0000 0.0000 0.7500
0.3333 0.6667 0.5310
0.3333 0.6667 0.9690
0.6667 0.3333 0.0310
0.6667 0.3333 0.4690
0.0000 0.0000 0.0000
0.0000 0.0000 0.5000
```

Results
**VASP energy**: -3.713 eV per atom
**Space-group type**: P6_3/mmc, No. 194
**N(E_F)**: 1.97 states/eV per cell
**Volume**: 8.2 A^3/atom
**Offset from the most stable computed form**: 310.9 meV per atom